1.
DFT (GGA-PBE) results for SrTl3Zn after structural relaxation.

Summary:
Symmetry   Pm-3m
ΔE_f   -0.020 eV/atom
Crystal system   cubic

abc: 5.4276 5.4276 5.4276
angles: 90.00 90.00 90.00
Last column: nearest neighbours and their distance in Å.
Fractional positions:
Sr  0.0000  0.0000  0.0000  12 Tl 3.84
Tl  0.0000  0.5000  0.5000  2 Zn 2.71
Tl  0.5000  0.0000  0.5000  2 Zn 2.71
Tl  0.5000  0.5000  0.0000  2 Zn 2.71
Zn  0.5000  0.5000  0.5000  6 Tl 2.71

2.
DFT (GGA-PBE) results for RbSr2CdF8 after structural relaxation.

Summary:
Symmetry   P2/m
Formation energy from raw total energies   -2.9449 eV/atom
Crystal system   monoclinic

abc: 4.1736 8.5284 5.8084
angles: 90.00 91.92 90.00
Last column: nearest neighbours and their distance in Å.
Fractional positions:
Rb  0.0000  0.0000  0.0000  8 F 2.74-2.86
Sr  0.5000  0.2702  0.5000  8 F 2.49-2.57
Sr  0.5000  0.7298  0.5000  8 F 2.49-2.57
Cd  0.0000  0.5000  0.0000  8 F 2.34-2.59
F  0.0120  0.2872  0.7471  1 Cd 2.34, 2 Sr 2.53-2.54
F  0.0120  0.7128  0.7471  1 Cd 2.34, 2 Sr 2.53-2.54
F  0.4817  0.5000  0.2340  2 Cd 2.39-2.59, 2 Sr 2.49
F  0.4856  0.0000  0.6941  1 F 2.26
F  0.5144  0.0000  0.3059  1 F 2.26
F  0.5183  0.5000  0.7660  2 Cd 2.39-2.59, 2 Sr 2.49
F  0.9880  0.2872  0.2529  1 Cd 2.34, 2 Sr 2.53-2.54
F  0.9880  0.7128  0.2529  1 Cd 2.34, 2 Sr 2.53-2.54

3.
DFT (GGA-PBE) results for MgTaPH2 after structural relaxation.

Summary:
Symmetry   P4/mmm
VASP energy   -22.425 eV per cell
Crystal system   tetragonal

abc: 3.6431 3.6431 5.5926
angles: 90.00 90.00 90.00
Last column: nearest neighbours and their distance in Å.
Fractional positions:
Mg  0.0000  0.0000  0.0000  4 P 2.58, 2 Ta 2.80
Ta  0.0000  0.0000  0.5000  4 H 1.82
P  0.5000  0.5000  0.0000  4 Mg 2.58
H  0.0000  0.5000  0.5000  2 Ta 1.82
H  0.5000  0.0000  0.5000  2 Ta 1.82

4.
DFT (GGA-PBE) results for BMoPbS2 after structural relaxation.

Summary:
Symmetry   P4/mmm
Formation energy from raw total energies   1.1722 eV/atom
Crystal system   tetragonal

abc: 4.3754 4.3754 4.6302
angles: 90.00 90.00 90.00
Last column: nearest neighbours and their distance in Å.
Fractional positions:
B  0.0000  0.0000  0.0000  4 S 2.19, 2 Pb 2.32
Mo  0.5000  0.5000  0.5000  4 Pb 3.09, 8 S 3.19
Pb  0.0000  0.0000  0.5000  2 B 2.32
S  0.0000  0.5000  0.0000  2 B 2.19
S  0.5000  0.0000  0.0000  2 B 2.19